(1)
Material: Ba2SrAlCu
Method: DFT, PBE-GGA
State: optimized geometry

Computed properties:
calculated volume	39.30	Å³/atom
final energy	-2.64	eV/atom
ρ	3.83	g/cm³
space-group type	P4/mmm, No. 123

Geometry as POSCAR:
```
Ba2SrAlCu
1.0
-0.5079 -6.0890 1.6948
-1.1757 -1.5795 -6.0274
4.7860 -0.6142 -0.7726
Sr Ba Cu Al
1 2 1 1
Cartesian
1.5512 -4.1414 -2.5526
-0.5879 -0.7898 -3.0137
-0.2539 -3.0445 0.8474
0.0000 0.0000 0.0000
2.3930 -0.3071 -0.3863
```

---

(2)
Material: TeIr2Au
Method: DFT, PBE-GGA
State: optimized geometry

Computed properties:
calculated volume	18.07	Å³/atom
final energy	-5.56	eV/atom
ρ	16.29	g/cm³
space-group type	Cm, No. 8

Geometry as POSCAR:
```
TeIr2Au
1.0
-0.9779 1.5499 -5.4364
-3.6216 1.3296 -4.2460
-0.6086 4.8065 -0.4619
Au Ir Te
1 2 1
Cartesian
-1.3466 1.7785 -2.6617
-0.1189 0.1285 -0.2404
-3.8542 5.6591 -7.5126
-2.4923 3.9630 -4.8017
```

---

(3)
Material: BaIr2Cl
Method: DFT, PBE-GGA
State: optimized geometry

Computed properties:
calculated volume	20.16	Å³/atom
final energy	-4.39	eV/atom
ρ	11.47	g/cm³
space-group type	P4/mmm, No. 123

Geometry as POSCAR:
```
BaIr2Cl
1.0
-0.7655 -2.9518 -0.7418
2.7052 -1.0104 1.2289
-3.6384 -0.8862 7.2805
Ir Ba Cl
2 1 1
Cartesian
-3.4239 -0.8339 6.8512
-2.0338 -0.4954 4.0696
0.0602 -2.2026 2.0637
-1.7590 -2.6457 5.7039
```

---

(4)
Material: Tm6Fe2Ni
Method: DFT, PBE-GGA
State: optimized geometry

Computed properties:
calculated volume	22.34	Å³/atom
final energy	-5.61	eV/atom
ρ	9.78	g/cm³
space-group type	Immm, No. 71

Geometry as POSCAR:
```
Tm6Fe2Ni
1.0
7.5459 0.1462 -2.8224
-3.8761 6.6565 -2.3653
-0.1490 -0.1462 8.0551
Tm Fe Ni
12 4 2
Cartesian
1.1245 4.7516 3.3518
2.3964 1.9049 -0.4844
-0.4900 1.7588 5.6341
4.0109 4.8977 -2.7667
3.0095 5.1549 0.5366
0.5113 1.5016 2.3308
-1.6570 5.0087 5.3959
5.1778 1.6478 -2.5285
3.6939 2.5609 2.6228
-0.1731 4.0956 0.2447
-1.6534 6.4901 2.3373
5.1743 0.1664 0.5301
2.1327 2.5326 4.8298
1.3882 4.1239 -1.9623
4.6017 0.0000 3.2553
2.7952 0.0000 1.9774
-2.0125 3.2552 2.8449
0.0000 0.0000 0.0000
```

---

(5)
Material: Na2TiF5
Method: DFT, PBE-GGA
State: optimized geometry

Computed properties:
calculated volume	13.74	Å³/atom
final energy	-5.55	eV/atom
ρ	2.85	g/cm³
space-group type	P2_1/c, No. 14

Geometry as POSCAR:
```
Na2TiF5
1.0
5.3777 0.0000 0.0000
0.0000 7.5870 0.0654
0.0000 3.4608 10.8037
Na Ti F
8 4 20
Cartesian
5.0623 3.7203 3.4418
2.3734 5.5971 2.0255
0.3154 7.3275 7.4273
3.0042 5.4507 8.8436
2.6802 1.6684 1.5620
5.3690 7.6490 3.9052
2.6975 9.3793 9.3071
0.0087 3.3988 6.9639
2.6888 5.5239 5.4345
0.0000 3.7935 0.0327
2.6888 1.7304 5.4018
0.0000 0.0000 0.0000
4.0613 5.8120 6.8130
1.3725 6.9661 9.4579
1.3163 5.2358 4.0561
4.0051 4.0816 1.4112
3.8697 5.9111 3.9138
1.1809 3.4063 1.5535
1.5079 5.1367 6.9553
4.1968 7.6415 9.3156
3.4744 3.6292 5.3887
0.7856 5.6882 0.0786
1.9032 7.4186 5.4804
4.5921 5.3596 10.7905
4.4412 3.3090 9.0112
1.7524 9.4691 7.2598
0.9364 7.7388 1.8579
3.6253 1.5786 3.6093
3.7559 7.0547 0.9264
1.0671 2.2627 4.5409
1.6217 3.9931 9.9427
4.3106 8.7850 6.3282
```

---

(6)
Material: Pa2Fe12As7
Method: DFT, PBE-GGA
State: optimized geometry

Computed properties:
calculated volume	13.60	Å³/atom
final energy	-7.63	eV/atom
ρ	9.63	g/cm³
space-group type	P-6, No. 174

Geometry as POSCAR:
```
Pa2Fe12As7
1.0
-1.5190 0.2671 3.4411
1.2229 -9.1858 1.2527
6.7248 5.9963 2.5030
Pa Fe As
2 12 7
Cartesian
-0.7595 0.1335 1.7206
3.0568 -4.1251 1.6695
4.4264 -4.4450 4.3651
0.8146 -5.7875 2.8750
1.6510 -1.7421 2.9302
4.7908 2.7514 3.9674
5.1212 -0.3492 4.3539
2.4819 0.8052 3.0992
3.6916 2.7264 1.4179
6.9466 1.2210 2.9716
4.0341 -1.1406 1.8693
5.8648 -2.6781 2.7967
2.7272 -7.4608 1.7829
0.5785 -2.2363 0.4289
4.8908 0.9356 2.0863
5.2519 4.3079 1.9839
7.3815 -1.0002 3.3360
2.0389 -0.5008 0.9389
3.7693 -2.2661 3.9059
2.8933 -6.1975 3.8244
0.2294 -3.5110 2.4400
```

---

Q: Which value of final energy does entry 1 give?
A: -2.64 eV/atom

---

Q: Look up the calculated volume of the sixth one.
A: 13.60 Å³/atom

---

What did the fifth record say?
Material: Na2TiF5
Method: DFT, PBE-GGA
State: optimized geometry

Computed properties:
calculated volume	13.74	Å³/atom
final energy	-5.55	eV/atom
ρ	2.85	g/cm³
space-group type	P2_1/c, No. 14

Geometry as POSCAR:
```
Na2TiF5
1.0
5.3777 0.0000 0.0000
0.0000 7.5870 0.0654
0.0000 3.4608 10.8037
Na Ti F
8 4 20
Cartesian
5.0623 3.7203 3.4418
2.3734 5.5971 2.0255
0.3154 7.3275 7.4273
3.0042 5.4507 8.8436
2.6802 1.6684 1.5620
5.3690 7.6490 3.9052
2.6975 9.3793 9.3071
0.0087 3.3988 6.9639
2.6888 5.5239 5.4345
0.0000 3.7935 0.0327
2.6888 1.7304 5.4018
0.0000 0.0000 0.0000
4.0613 5.8120 6.8130
1.3725 6.9661 9.4579
1.3163 5.2358 4.0561
4.0051 4.0816 1.4112
3.8697 5.9111 3.9138
1.1809 3.4063 1.5535
1.5079 5.1367 6.9553
4.1968 7.6415 9.3156
3.4744 3.6292 5.3887
0.7856 5.6882 0.0786
1.9032 7.4186 5.4804
4.5921 5.3596 10.7905
4.4412 3.3090 9.0112
1.7524 9.4691 7.2598
0.9364 7.7388 1.8579
3.6253 1.5786 3.6093
3.7559 7.0547 0.9264
1.0671 2.2627 4.5409
1.6217 3.9931 9.9427
4.3106 8.7850 6.3282
```